Crystalline Na2TlHg3 at its relaxed geometry, computed with PBE.

Properties
VASP energy: -1.19 eV per atom
energy relative to the lowest polymorph listed for this composition: 0.0 meV per atom
Fermi-level density of states: 0.304 states/eV/atom
formation enthalpy at 0 K: -0.202 eV per atom

Lattice parameters (Å, degrees): 6.242 6.242 8.412 79.96 79.96 92.86
Fractional coordinates of all 12 atoms:
Hg (0.418, 0.582, 0.750)
Hg (0.662, 0.832, 0.003)
Hg (0.582, 0.418, 0.250)
Hg (0.832, 0.662, 0.503)
Hg (0.338, 0.168, 0.997)
Hg (0.168, 0.338, 0.497)
Tl (0.082, 0.918, 0.750)
Tl (0.918, 0.082, 0.250)
Na (0.381, 0.867, 0.374)
Na (0.867, 0.381, 0.874)
Na (0.133, 0.619, 0.126)
Na (0.619, 0.133, 0.626)



Crystalline Na4Tl3Hg4 at its relaxed geometry, computed with PBE.

Properties
VASP energy: -1.36 eV per atom
energy relative to the lowest polymorph listed for this composition: 0.0 meV per atom
Fermi-level density of states: 0.457 states/eV/atom
formation enthalpy at 0 K: -0.126 eV per atom

Lattice parameters (Å, degrees): 3.620 9.368 10.646 116.10 99.79 90.00
Fractional coordinates of all 11 atoms:
Hg (0.253, 0.753, 0.507)
Hg (0.500, 0.206, 0.000)
Hg (0.500, 0.794, 0.000)
Hg (0.747, 0.247, 0.493)
Tl (0.102, 0.102, 0.204)
Tl (0.898, 0.898, 0.796)
Tl (0.000, 0.500, 0.000)
Na (0.342, 0.146, 0.683)
Na (0.658, 0.854, 0.317)
Na (0.658, 0.462, 0.317)
Na (0.342, 0.538, 0.683)



Question: Look up the formation enthalpy at 0 K of the second one.
Answer: -0.126 eV per atom



Question: The lowest VASP energy belongs to which entry?
Answer: Na4Tl3Hg4



Question: energy relative to the lowest polymorph listed for this composition of number 1 (Na2TlHg3)?
Answer: 0.0 meV per atom



Question: What is the formula in the first record?
Answer: Na2TlHg3